1.
# Fe2SbW

A relaxed structure of Fe2SbW (PBE-GGA, the Alexandria database). Values from VASP.

Quantum ESPRESSO input file:
```
&SYSTEM
  ibrav = 0, nat = 4, ntyp = 3
/
ATOMIC_SPECIES
Fe 55.84 Fe.upf
Sb 121.76 Sb.upf
W 183.84 W.upf
CELL_PARAMETERS angstrom
0.000 3.113 3.113
3.113 0.000 3.113
3.113 3.113 0.000
ATOMIC_POSITIONS angstrom
Fe 0.000 0.000 0.000
Fe 1.557 1.557 1.557
Sb 4.670 4.670 4.670
W 3.113 3.113 3.113
```

Properties
The density of states at the Fermi level comes out at 3.144 states/eV/f.u. The calculation puts the total magnetization at 4.356 μB/f.u. The value obtained for the volume is 15.084 A^3/atom.

---

2.
# Fe2SbW

A relaxed structure of Fe2SbW (PBE-GGA, the Alexandria database). Values from VASP.

Quantum ESPRESSO input file:
```
&SYSTEM
  ibrav = 0, nat = 4, ntyp = 3
/
ATOMIC_SPECIES
Fe 55.84 Fe.upf
Sb 121.76 Sb.upf
W 183.84 W.upf
CELL_PARAMETERS angstrom
4.395 -1.529 0.000
4.395 1.529 0.000
-1.017 0.000 4.418
ATOMIC_POSITIONS angstrom
Fe 0.000 0.000 0.000
Fe 6.263 0.000 1.172
Sb 3.854 0.000 2.141
W 1.455 0.000 3.653
```

Properties
The density of states at the Fermi level comes out at 4.549 states/eV/f.u. The calculation puts the total magnetization at 2.880 μB/f.u. The value obtained for the volume is 14.840 A^3/atom.

---

Which of them is the least stable? Correct choice: 1.

---

1.
# Fe2SbW

A relaxed structure of Fe2SbW (PBE-GGA, the Alexandria database). Values from VASP.

Quantum ESPRESSO input file:
```
&SYSTEM
  ibrav = 0, nat = 4, ntyp = 3
/
ATOMIC_SPECIES
Fe 55.84 Fe.upf
Sb 121.76 Sb.upf
W 183.84 W.upf
CELL_PARAMETERS angstrom
4.276 0.000 0.000
0.000 4.276 0.000
0.000 0.000 3.153
ATOMIC_POSITIONS angstrom
Fe 0.000 2.138 0.000
Fe 2.138 0.000 0.000
Sb 0.000 0.000 1.576
W 2.138 2.138 1.576
```

Properties
The density of states at the Fermi level comes out at 4.410 states/eV/f.u. The calculation puts the total magnetization at 2.858 μB/f.u. The value obtained for the volume is 14.410 A^3/atom.

---

2.
# Fe2SbW

A relaxed structure of Fe2SbW (PBE-GGA, the Alexandria database). Values from VASP.

Quantum ESPRESSO input file:
```
&SYSTEM
  ibrav = 0, nat = 4, ntyp = 3
/
ATOMIC_SPECIES
Fe 55.84 Fe.upf
Sb 121.76 Sb.upf
W 183.84 W.upf
CELL_PARAMETERS angstrom
3.140 0.000 0.000
0.000 3.140 0.000
0.000 0.000 5.937
ATOMIC_POSITIONS angstrom
Fe 0.000 0.000 1.397
Fe 0.000 0.000 4.540
Sb 1.570 1.570 2.969
W 1.570 1.570 0.000
```

Properties
The density of states at the Fermi level comes out at 3.445 states/eV/f.u. The calculation puts the total magnetization at 2.768 μB/f.u. The value obtained for the volume is 14.630 A^3/atom.

---

Which of them is the least stable? Correct choice: 1.

---

1.
# Fe2SbW

A relaxed structure of Fe2SbW (PBE-GGA, the Alexandria database). Values from VASP.

Quantum ESPRESSO input file:
```
&SYSTEM
  ibrav = 0, nat = 4, ntyp = 3
/
ATOMIC_SPECIES
Fe 55.84 Fe.upf
Sb 121.76 Sb.upf
W 183.84 W.upf
CELL_PARAMETERS angstrom
-1.590 2.128 4.307
1.590 -2.128 4.307
1.590 2.128 -4.307
ATOMIC_POSITIONS angstrom
Fe 0.000 0.000 0.000
Fe 0.000 2.128 2.290
Sb 1.590 0.000 2.119
W 0.000 0.000 4.405
```

Properties
The density of states at the Fermi level comes out at 3.735 states/eV/f.u. The calculation puts the total magnetization at 3.304 μB/f.u. The value obtained for the volume is 14.571 A^3/atom.

---

2.
# Fe2SbW

A relaxed structure of Fe2SbW (PBE-GGA, the Alexandria database). Values from VASP.

Quantum ESPRESSO input file:
```
&SYSTEM
  ibrav = 0, nat = 4, ntyp = 3
/
ATOMIC_SPECIES
Fe 55.84 Fe.upf
Sb 121.76 Sb.upf
W 183.84 W.upf
CELL_PARAMETERS angstrom
4.154 -1.516 0.000
4.154 1.516 0.000
-0.833 0.000 4.845
ATOMIC_POSITIONS angstrom
Fe 1.836 0.000 1.063
Fe 5.638 0.000 3.783
Sb -0.417 0.000 2.423
W 4.154 0.000 0.000
```

Properties
The density of states at the Fermi level comes out at 4.466 states/eV/f.u. The calculation puts the total magnetization at 3.073 μB/f.u. The value obtained for the volume is 15.260 A^3/atom.

---

Which of them is the least stable? Correct choice: 2.

---

1.
# Fe2SbW

A relaxed structure of Fe2SbW (PBE-GGA, the Alexandria database). Values from VASP.

Quantum ESPRESSO input file:
```
&SYSTEM
  ibrav = 0, nat = 4, ntyp = 3
/
ATOMIC_SPECIES
Fe 55.84 Fe.upf
Sb 121.76 Sb.upf
W 183.84 W.upf
CELL_PARAMETERS angstrom
1.716 -2.270 0.000
1.716 2.270 0.000
0.000 0.000 8.108
ATOMIC_POSITIONS angstrom
Fe 0.000 0.000 1.918
Fe 0.000 0.000 6.190
Sb 1.716 0.000 4.054
W 1.716 0.000 0.000
```

Properties
The density of states at the Fermi level comes out at 3.908 states/eV/f.u. The calculation puts the total magnetization at 4.479 μB/f.u. The value obtained for the volume is 15.795 A^3/atom.

---

2.
# Fe2SbW

A relaxed structure of Fe2SbW (PBE-GGA, the Alexandria database). Values from VASP.

Quantum ESPRESSO input file:
```
&SYSTEM
  ibrav = 0, nat = 4, ntyp = 3
/
ATOMIC_SPECIES
Fe 55.84 Fe.upf
Sb 121.76 Sb.upf
W 183.84 W.upf
CELL_PARAMETERS angstrom
3.144 0.000 0.000
0.000 3.144 0.000
0.000 0.000 6.071
ATOMIC_POSITIONS angstrom
Fe 0.000 0.000 0.000
Fe 1.572 1.572 1.258
Sb 0.000 0.000 2.785
W 1.572 1.572 4.642
```

Properties
The density of states at the Fermi level comes out at 4.290 states/eV/f.u. The calculation puts the total magnetization at 3.983 μB/f.u. The value obtained for the volume is 15.003 A^3/atom.

---

Which of them is the least stable? Correct choice: 1.

---

1.
# Fe2SbW

A relaxed structure of Fe2SbW (PBE-GGA, the Alexandria database). Values from VASP.

Quantum ESPRESSO input file:
```
&SYSTEM
  ibrav = 0, nat = 4, ntyp = 3
/
ATOMIC_SPECIES
Fe 55.84 Fe.upf
Sb 121.76 Sb.upf
W 183.84 W.upf
CELL_PARAMETERS angstrom
1.502 0.867 7.888
-1.502 0.867 7.888
0.000 -1.735 7.888
ATOMIC_POSITIONS angstrom
Fe 0.000 0.000 5.777
Fe 0.000 0.000 17.885
Sb 0.000 0.000 0.000
W 0.000 0.000 11.831
```

Properties
The density of states at the Fermi level comes out at 3.584 states/eV/f.u. The calculation puts the total magnetization at 1.919 μB/f.u. The value obtained for the volume is 15.416 A^3/atom.

---

2.
# Fe2SbW

A relaxed structure of Fe2SbW (PBE-GGA, the Alexandria database). Values from VASP.

Quantum ESPRESSO input file:
```
&SYSTEM
  ibrav = 0, nat = 4, ntyp = 3
/
ATOMIC_SPECIES
Fe 55.84 Fe.upf
Sb 121.76 Sb.upf
W 183.84 W.upf
CELL_PARAMETERS angstrom
0.000 3.053 3.053
3.053 0.000 3.053
3.053 3.053 0.000
ATOMIC_POSITIONS angstrom
Fe 1.527 1.527 1.527
Fe 4.580 4.580 4.580
Sb 0.000 0.000 0.000
W 3.053 3.053 3.053
```

Properties
The density of states at the Fermi level comes out at 2.502 states/eV/f.u. The calculation puts the total magnetization at 2.793 μB/f.u. The value obtained for the volume is 14.230 A^3/atom.

---

3.
# Fe2SbW

A relaxed structure of Fe2SbW (PBE-GGA, the Alexandria database). Values from VASP.

Quantum ESPRESSO input file:
```
&SYSTEM
  ibrav = 0, nat = 4, ntyp = 3
/
ATOMIC_SPECIES
Fe 55.84 Fe.upf
Sb 121.76 Sb.upf
W 183.84 W.upf
CELL_PARAMETERS angstrom
2.811 -3.487 0.000
2.811 3.487 0.000
0.000 0.000 2.885
ATOMIC_POSITIONS angstrom
Fe 1.405 1.744 0.000
Fe 1.405 -1.744 0.000
Sb 0.000 0.000 1.443
W 2.811 0.000 1.443
```

Properties
The density of states at the Fermi level comes out at 3.455 states/eV/f.u. The calculation puts the total magnetization at 0.000 μB/f.u. The value obtained for the volume is 14.139 A^3/atom.

---

4.
# Fe2SbW

A relaxed structure of Fe2SbW (PBE-GGA, the Alexandria database). Values from VASP.

Quantum ESPRESSO input file:
```
&SYSTEM
  ibrav = 0, nat = 4, ntyp = 3
/
ATOMIC_SPECIES
Fe 55.84 Fe.upf
Sb 121.76 Sb.upf
W 183.84 W.upf
CELL_PARAMETERS angstrom
1.500 0.866 8.124
-1.500 0.866 8.124
0.000 -1.732 8.124
ATOMIC_POSITIONS angstrom
Fe 0.000 0.000 0.000
Fe 0.000 0.000 6.347
Sb 0.000 0.000 18.345
W 0.000 0.000 12.584
```

Properties
The density of states at the Fermi level comes out at 3.896 states/eV/f.u. The calculation puts the total magnetization at 4.096 μB/f.u. The value obtained for the volume is 15.835 A^3/atom.

---

Which of them is the least stable? Correct choice: 4.

---

1.
# Fe2SbW

A relaxed structure of Fe2SbW (PBE-GGA, the Alexandria database). Values from VASP.

Quantum ESPRESSO input file:
```
&SYSTEM
  ibrav = 0, nat = 8, ntyp = 3
/
ATOMIC_SPECIES
Fe 55.84 Fe.upf
Sb 121.76 Sb.upf
W 183.84 W.upf
CELL_PARAMETERS angstrom
-2.743 2.743 5.496
2.743 -2.743 5.496
2.743 2.743 -5.496
ATOMIC_POSITIONS angstrom
Fe 4.114 1.236 -1.374
Fe 1.236 1.371 1.374
Fe -1.371 1.506 4.122
Fe 1.506 1.371 6.870
Sb 2.743 0.000 2.748
Sb 0.000 0.000 5.496
W 0.000 0.000 0.000
W 0.000 2.743 2.748
```

Properties
The density of states at the Fermi level comes out at 2.474 states/eV/f.u. The calculation puts the total magnetization at 0.000 μB/f.u. The value obtained for the volume is 20.671 A^3/atom.

---

2.
# Fe2SbW

A relaxed structure of Fe2SbW (PBE-GGA, the Alexandria database). Values from VASP.

Quantum ESPRESSO input file:
```
&SYSTEM
  ibrav = 0, nat = 4, ntyp = 3
/
ATOMIC_SPECIES
Fe 55.84 Fe.upf
Sb 121.76 Sb.upf
W 183.84 W.upf
CELL_PARAMETERS angstrom
2.860 0.000 0.000
0.000 4.225 0.000
-0.598 0.000 5.076
ATOMIC_POSITIONS angstrom
Fe 0.000 0.000 0.000
Fe 0.368 2.112 4.023
Sb 2.664 2.112 1.419
W 1.308 0.000 2.828
```

Properties
The density of states at the Fermi level comes out at 3.244 states/eV/f.u. The calculation puts the total magnetization at 3.832 μB/f.u. The value obtained for the volume is 15.329 A^3/atom.

---

Which of them is the least stable? Correct choice: 1.